Entry 1:
Computed, not measured: a relaxed structure of Tb3Dy2Bi3 at the PBE level of DFT.

The space group is P6_3/mcm (No. 193) and the conventional cell measures 9.1849, 9.1849 and 6.3820 Å, with angles of 90.00, 90.00 and 120.00 degrees. The distinct sites, in fractional coordinates, are Tb at (0.0000, 0.2440, 0.2500), Dy at (0.3333, 0.6667, 0.0000) and Bi at (0.0000, 0.3897, 0.7500).

The value obtained for the calculated density is 10.2 g/cm³. The crystal system is hexagonal. As for the volume: 29.1 Å³/atom.


Entry 2:
Computed, not measured: a relaxed structure of TbDy2Bi3 at the PBE level of DFT.

The space group is P-3m1 (No. 164) and the conventional cell measures 4.4584, 4.4584 and 10.9963 Å, with angles of 90.00, 90.00 and 120.00 degrees. The distinct sites, in fractional coordinates, are Tb at (0.0000, 0.0000, 0.0000), Dy at (0.3333, 0.6667, 0.3333), Bi at (0.0000, 0.0000, 0.5000) and Bi at (0.3333, 0.6667, 0.8332).

The value obtained for the calculated density is 9.7 g/cm³. The crystal system is trigonal. As for the volume: 31.5 Å³/atom.


Entry 3:
Computed, not measured: a relaxed structure of DyTcBi at the PBE level of DFT.

The space group is F-43m (No. 216) and the conventional cell measures 6.803, 6.803 and 6.803 Å, with angles of 90.00, 90.00 and 90.00 degrees. The distinct sites, in fractional coordinates, are Dy at (0.000, 0.000, 0.000), Tc at (0.000, 0.000, 0.500) and Bi at (0.250, 0.250, 0.250).

The value obtained for the calculated density is 9.9 g/cm³. The crystal system is cubic. As for the volume: 26.2 Å³/atom.


Entry 4:
Computed, not measured: a relaxed structure of DyTcBi at the PBE level of DFT.

The space group is F-43m (No. 216) and the conventional cell measures 6.880, 6.880 and 6.880 Å, with angles of 90.00, 90.00 and 90.00 degrees. The distinct sites, in fractional coordinates, are Dy at (0.000, 0.000, 0.000), Tc at (0.250, 0.250, 0.250) and Bi at (0.250, 0.250, 0.750).

The value obtained for the calculated density is 9.6 g/cm³. The crystal system is cubic. As for the volume: 27.1 Å³/atom.


Entry 5:
Computed, not measured: a relaxed structure of Dy6TcBi2 at the PBE level of DFT.

The space group is P-62m (No. 189) and the conventional cell measures 8.3032, 8.3032 and 4.2812 Å, with angles of 90.00, 90.00 and 120.00 degrees. The distinct sites, in fractional coordinates, are Dy at (0.0000, 0.3920, 0.0000), Dy at (0.0000, 0.7673, 0.5000), Tc at (0.0000, 0.0000, 0.0000) and Bi at (0.3333, 0.6667, 0.5000).

The value obtained for the calculated density is 9.7 g/cm³. The crystal system is hexagonal. As for the volume: 28.4 Å³/atom.


Entry 6:
Computed, not measured: a relaxed structure of DyBiTe at the PBE level of DFT.

The space group is F-43m (No. 216) and the conventional cell measures 7.376, 7.376 and 7.376 Å, with angles of 90.00, 90.00 and 90.00 degrees. The distinct sites, in fractional coordinates, are Dy at (0.000, 0.000, 0.000), Bi at (0.000, 0.000, 0.500) and Te at (0.250, 0.250, 0.750).

The value obtained for the calculated density is 8.3 g/cm³. The crystal system is cubic. As for the volume: 33.4 Å³/atom.


Entry 7:
Computed, not measured: a relaxed structure of DyBiTe at the PBE level of DFT.

The space group is Pnma (No. 62) and the conventional cell measures 8.133, 4.027 and 10.646 Å, with angles of 90.00, 90.00 and 90.00 degrees. The distinct sites, in fractional coordinates, are Dy at (0.126, 0.250, 0.246), Bi at (0.116, 0.250, 0.584) and Te at (0.126, 0.250, 0.886).

The value obtained for the calculated density is 9.5 g/cm³. The crystal system is orthorhombic. As for the volume: 29.1 Å³/atom.


Entry 8:
Computed, not measured: a relaxed structure of Dy5Bi4Te at the PBE level of DFT.

The space group is I4/m (No. 87) and the conventional cell measures 9.935, 9.935 and 6.282 Å, with angles of 90.00, 90.00 and 90.00 degrees. The distinct sites, in fractional coordinates, are Dy at (0.000, 0.000, 0.000), Dy at (0.101, 0.301, 0.500), Bi at (0.100, 0.299, 0.000) and Te at (0.000, 0.000, 0.500).

The value obtained for the calculated density is 9.5 g/cm³. The crystal system is tetragonal. As for the volume: 31.0 Å³/atom.


Entry 9:
Computed, not measured: a relaxed structure of DyBiTe at the PBE level of DFT.

The space group is F-43m (No. 216) and the conventional cell measures 7.436, 7.436 and 7.436 Å, with angles of 90.00, 90.00 and 90.00 degrees. The distinct sites, in fractional coordinates, are Dy at (0.000, 0.000, 0.000), Bi at (0.250, 0.250, 0.750) and Te at (0.250, 0.250, 0.250).

The value obtained for the calculated density is 8.1 g/cm³. The crystal system is cubic. As for the volume: 34.3 Å³/atom.


Entry 10:
Computed, not measured: a relaxed structure of Dy3ThBi4 at the PBE level of DFT.

The space group is Cmmm (No. 65) and the conventional cell measures 9.000, 12.736 and 4.513 Å, with angles of 90.00, 90.00 and 90.00 degrees. The distinct sites, in fractional coordinates, are Dy at (0.000, 0.000, 0.000), Dy at (0.250, 0.250, 0.500), Th at (0.000, 0.500, 0.000), Bi at (0.000, 0.247, 0.000) and Bi at (0.244, 0.000, 0.500).

The value obtained for the calculated density is 10.0 g/cm³. The crystal system is orthorhombic. As for the volume: 32.3 Å³/atom.


Entry 11:
Computed, not measured: a relaxed structure of Dy5Tl2Bi2 at the PBE level of DFT.

The space group is Cmce (No. 64) and the conventional cell measures 15.766, 8.209 and 8.208 Å, with angles of 90.00, 90.00 and 90.00 degrees. The distinct sites, in fractional coordinates, are Dy at (0.000, 0.000, 0.000), Dy at (0.134, 0.168, 0.334), Tl at (0.000, 0.134, 0.633) and Bi at (0.205, 0.000, 0.000).

The value obtained for the calculated density is 10.2 g/cm³. The crystal system is orthorhombic. As for the volume: 29.5 Å³/atom.


Entry 12:
Computed, not measured: a relaxed structure of DyTlBi at the PBE level of DFT.

The space group is F-43m (No. 216) and the conventional cell measures 7.375, 7.375 and 7.375 Å, with angles of 90.00, 90.00 and 90.00 degrees. The distinct sites, in fractional coordinates, are Dy at (0.000, 0.000, 0.000), Tl at (0.250, 0.250, 0.750) and Bi at (0.000, 0.000, 0.500).

The value obtained for the calculated density is 9.5 g/cm³. The crystal system is cubic. As for the volume: 33.4 Å³/atom.


Entry 13:
Computed, not measured: a relaxed structure of DyTlBi at the PBE level of DFT.

The space group is F-43m (No. 216) and the conventional cell measures 7.383, 7.383 and 7.383 Å, with angles of 90.00, 90.00 and 90.00 degrees. The distinct sites, in fractional coordinates, are Dy at (0.000, 0.000, 0.000), Tl at (0.250, 0.250, 0.250) and Bi at (0.250, 0.250, 0.750).

The value obtained for the calculated density is 9.5 g/cm³. The crystal system is cubic. As for the volume: 33.5 Å³/atom.


Entry 14:
Computed, not measured: a relaxed structure of DyTm5Bi6 at the PBE level of DFT.

The space group is C2/m (No. 12) and the conventional cell measures 7.666, 13.274 and 7.664 Å, with angles of 90.00, 109.47 and 90.00 degrees. The distinct sites, in fractional coordinates, are Dy at (0.000, 0.000, 0.000), Tm at (0.000, 0.166, 0.500), Tm at (0.000, 0.333, 0.000), Tm at (0.000, 0.500, 0.500), Bi at (0.248, 0.332, 0.748) and Bi at (0.248, 0.500, 0.250).

The value obtained for the calculated density is 10.2 g/cm³. The crystal system is monoclinic. As for the volume: 30.6 Å³/atom.


Entry 15:
Computed, not measured: a relaxed structure of DyTmBi at the PBE level of DFT.

The space group is F-43m (No. 216) and the conventional cell measures 7.255, 7.255 and 7.255 Å, with angles of 90.00, 90.00 and 90.00 degrees. The distinct sites, in fractional coordinates, are Dy at (0.000, 0.000, 0.000), Tm at (0.000, 0.000, 0.500) and Bi at (0.250, 0.250, 0.250).

The value obtained for the calculated density is 9.4 g/cm³. The crystal system is cubic. As for the volume: 31.8 Å³/atom.


Entry 16:
Computed, not measured: a relaxed structure of Dy4TmBi5 at the PBE level of DFT.

The space group is I4/mmm (No. 139) and the conventional cell measures 4.454, 4.454 and 31.488 Å, with angles of 90.00, 90.00 and 90.00 degrees. The distinct sites, in fractional coordinates, are Dy at (0.000, 0.000, 0.100), Dy at (0.000, 0.000, 0.300), Tm at (0.000, 0.000, 0.500), Bi at (0.000, 0.000, 0.000), Bi at (0.000, 0.000, 0.200) and Bi at (0.000, 0.000, 0.401).

The value obtained for the calculated density is 9.9 g/cm³. The crystal system is tetragonal. As for the volume: 31.2 Å³/atom.


Entry 17:
Computed, not measured: a relaxed structure of DyTm2Bi3 at the PBE level of DFT.

The space group is P-3m1 (No. 164) and the conventional cell measures 4.4355, 4.4355 and 10.8776 Å, with angles of 90.00, 90.00 and 120.00 degrees. The distinct sites, in fractional coordinates, are Dy at (0.0000, 0.0000, 0.0000), Tm at (0.3333, 0.6667, 0.3335), Bi at (0.0000, 0.0000, 0.5000) and Bi at (0.3333, 0.6667, 0.8312).

The value obtained for the calculated density is 10.1 g/cm³. The crystal system is trigonal. As for the volume: 30.9 Å³/atom.


Entry 18:
Computed, not measured: a relaxed structure of DyUBi at the PBE level of DFT.

The space group is F-43m (No. 216) and the conventional cell measures 7.361, 7.361 and 7.361 Å, with angles of 90.00, 90.00 and 90.00 degrees. The distinct sites, in fractional coordinates, are Dy at (0.000, 0.000, 0.000), U at (0.250, 0.250, 0.250) and Bi at (0.250, 0.250, 0.750).

The value obtained for the calculated density is 10.2 g/cm³. The crystal system is cubic. As for the volume: 33.2 Å³/atom.


Entry 19:
Computed, not measured: a relaxed structure of DyBi3W at the PBE level of DFT.

The space group is Pm-3m (No. 221) and the conventional cell measures 5.403, 5.403 and 5.403 Å, with angles of 90.00, 90.00 and 90.00 degrees. The distinct sites, in fractional coordinates, are Dy at (0.000, 0.000, 0.000), Bi at (0.000, 0.500, 0.500) and W at (0.500, 0.500, 0.500).

The value obtained for the calculated density is 10.2 g/cm³. The crystal system is cubic. As for the volume: 31.5 Å³/atom.


Entry 20:
Computed, not measured: a relaxed structure of DyBiW at the PBE level of DFT.

The space group is F-43m (No. 216) and the conventional cell measures 7.039, 7.039 and 7.039 Å, with angles of 90.00, 90.00 and 90.00 degrees. The distinct sites, in fractional coordinates, are Dy at (0.000, 0.000, 0.000), Bi at (0.250, 0.250, 0.750) and W at (0.250, 0.250, 0.250).

The value obtained for the calculated density is 10.6 g/cm³. The crystal system is cubic. As for the volume: 29.1 Å³/atom.


no.,total DFT energy (no corrections) (eV/cell)
1,-81.941
2,-31.270
3,-71.437
4,-66.430
5,-50.496
6,-50.748
7,-56.230
8,-104.294
9,-53.289
10,-87.745
11,-164.558
12,-44.584
13,-46.334
14,-122.001
15,-55.266
16,-103.438
17,-30.643
18,-70.976
19,-26.304
20,-71.198